# Ca3OsPt (PBE, relaxed)
data_Ca3OsPt
_chemical_formula_sum 'Ca3 Os1 Pt1'
_space_group_name_H-M_alt 'P m -3 m'
_space_group_IT_number 221
_space_group_name_Hall '-P 4 2 3'
_cell_length_a 5.296
_cell_length_b 5.296
_cell_length_c 5.296
_cell_angle_alpha 90.00
_cell_angle_beta 90.00
_cell_angle_gamma 90.00
loop_
_atom_site_label
_atom_site_fract_x
_atom_site_fract_y
_atom_site_fract_z
Ca1 0.000 0.000 0.500
Os1 0.000 0.000 0.000
Pt1 0.500 0.500 0.500
# final energy = -21.03 eV for the cell shown
# size of the total moment = 0.00 μB per formula unit
# offset from the most stable computed form = 0 meV per atom
# energy relative to the elements = 0.4485 eV/atom